This record from Alexandria describes a relaxed structure of Sr2TbCo2O6. The functional is GGA+U. Values from VASP.

Geometry as Quantum ESPRESSO input:
```
&SYSTEM
  ibrav = 0, nat = 11, ntyp = 4
/
ATOMIC_SPECIES
Sr 87.62 Sr.upf
Tb 158.93 Tb.upf
Co 58.93 Co.upf
O 16.00 O.upf
CELL_PARAMETERS angstrom
2.9914 1.7271 5.7285
-2.9914 1.7271 5.7285
0.0000 -3.4542 5.7285
ATOMIC_POSITIONS crystal
Sr 0.2042 0.2042 0.2042
Sr 0.7958 0.7958 0.7958
Tb 0.0000 0.0000 0.0000
Co 0.4370 0.4370 0.4370
Co 0.5630 0.5630 0.5630
O 0.2298 0.7503 0.7503
O 0.2497 0.2497 0.7702
O 0.2497 0.7702 0.2497
O 0.7503 0.2298 0.7503
O 0.7503 0.7503 0.2298
O 0.7702 0.2497 0.2497
```

Output
- Final energy: -6.411 eV/atom
- SG: R-3m (166)